1.
Compound: YMg6Cd
Source: the Alexandria database
Functional: PBE-GGA
Structure: relaxed

Polymorph energy (0 for the lowest one): 0.29 kJ per mole of atoms
Volume: 383.2 Å³/cell
Fermi-level density of states: 9.09 states/eV per cell
Energy of formation from the pure elements: -52 meV per atom
Raw total energy: -2.17 eV/atom
M_tot: 0.00 Bohr magnetons per cell

a = 5.0948 Å, b = 6.3638 Å, c = 11.8189 Å
α = 90.00°, β = 90.00°, γ = 90.00°
Closest atoms and distances in Å follow each position.
Fractional coordinates of all 16 atoms:
Y 0.0000 0.0000 0.0000  10 Mg 3.18-3.39, 2 Cd 3.20
Y 0.0000 0.5000 0.5000  10 Mg 3.18-3.39, 2 Cd 3.20
Mg 0.0000 0.2473 0.7458  8 Mg 3.11-3.26, 1 Cd 3.15, 2 Y 3.32-3.39
Mg 0.0000 0.2527 0.2458  8 Mg 3.11-3.26, 1 Cd 3.15, 2 Y 3.32-3.39
Mg 0.0000 0.7473 0.2458  8 Mg 3.11-3.26, 1 Cd 3.15, 2 Y 3.32-3.39
Mg 0.0000 0.7527 0.7458  8 Mg 3.11-3.26, 1 Cd 3.15, 2 Y 3.32-3.39
Mg 0.5000 0.0000 0.1614  10 Mg 3.17-3.50, 2 Y 3.18
Mg 0.5000 0.0000 0.6358  2 Cd 3.18, 10 Mg 3.20-3.46
Mg 0.5000 0.2467 0.8968  7 Mg 3.11-3.46, 2 Cd 3.15, 2 Y 3.23
Mg 0.5000 0.2533 0.3968  7 Mg 3.11-3.46, 2 Cd 3.15, 2 Y 3.23
Mg 0.5000 0.5000 0.1358  2 Cd 3.18, 10 Mg 3.20-3.46
Mg 0.5000 0.5000 0.6614  10 Mg 3.17-3.50, 2 Y 3.18
Mg 0.5000 0.7467 0.3968  7 Mg 3.11-3.46, 2 Cd 3.15, 2 Y 3.23
Mg 0.5000 0.7533 0.8968  7 Mg 3.11-3.46, 2 Cd 3.15, 2 Y 3.23
Cd 0.0000 0.0000 0.4746  8 Mg 3.15-3.18, 2 Y 3.20
Cd 0.0000 0.5000 0.9746  8 Mg 3.15-3.18, 2 Y 3.20



2.
Compound: Dy4ErSc3
Source: the Alexandria database
Functional: PBE-GGA
Structure: relaxed

Polymorph energy (0 for the lowest one): 0.00 kJ per mole of atoms
Volume: 462.7 Å³/cell
Fermi-level density of states: 30.07 states/eV per cell
Energy of formation from the pure elements: 27 meV per atom
Raw total energy: -5.22 eV/atom
M_tot: 0.05 Bohr magnetons per cell

a = 10.8849 Å, b = 7.0101 Å, c = 6.0633 Å
α = 90.00°, β = 90.00°, γ = 90.00°
Closest atoms and distances in Å follow each position.
Fractional coordinates of all 16 atoms:
Dy 0.0000 0.1313 0.0000  4 Sc 3.38-3.56, 6 Dy 3.40-3.59, 2 Er 3.41-3.60
Dy 0.0000 0.8683 0.5076  4 Sc 3.38-3.60, 6 Dy 3.40-3.59, 2 Er 3.48-3.53
Dy 0.2462 0.1318 0.3440  5 Sc 3.36-3.60, 6 Dy 3.40-3.55, 1 Er 3.43
Dy 0.2538 0.8682 0.8440  5 Sc 3.36-3.60, 6 Dy 3.40-3.55, 1 Er 3.43
Dy 0.5000 0.1317 0.0076  4 Sc 3.38-3.60, 6 Dy 3.40-3.59, 2 Er 3.48-3.53
Dy 0.5000 0.8687 0.5000  4 Sc 3.38-3.56, 6 Dy 3.40-3.59, 2 Er 3.41-3.60
Dy 0.7462 0.8682 0.8440  5 Sc 3.36-3.60, 6 Dy 3.40-3.55, 1 Er 3.43
Dy 0.7538 0.1318 0.3440  5 Sc 3.36-3.60, 6 Dy 3.40-3.55, 1 Er 3.43
Er 0.0000 0.6180 0.0124  6 Sc 3.36-3.46, 6 Dy 3.41-3.60
Er 0.5000 0.3820 0.5124  6 Sc 3.36-3.46, 6 Dy 3.41-3.60
Sc 0.0000 0.3811 0.5119  4 Sc 3.35-3.38, 6 Dy 3.36-3.60, 2 Er 3.45-3.46
Sc 0.2492 0.6190 0.3402  4 Sc 3.35-3.46, 2 Er 3.36, 6 Dy 3.38-3.60
Sc 0.2508 0.3810 0.8402  4 Sc 3.35-3.46, 2 Er 3.36, 6 Dy 3.38-3.60
Sc 0.5000 0.6189 0.0119  4 Sc 3.35-3.38, 6 Dy 3.36-3.60, 2 Er 3.45-3.46
Sc 0.7492 0.3810 0.8402  4 Sc 3.35-3.46, 2 Er 3.36, 6 Dy 3.38-3.60
Sc 0.7508 0.6190 0.3402  4 Sc 3.35-3.46, 2 Er 3.36, 6 Dy 3.38-3.60



3.
Compound: AgRhCl6
Source: the Alexandria database
Functional: PBE-GGA
Structure: relaxed

Polymorph energy (0 for the lowest one): 0.29 kJ per mole of atoms
Volume: 428.9 Å³/cell
Fermi-level density of states: 16.62 states/eV per cell
Raw total energy: -3.03 eV/atom
M_tot: 1.91 Bohr magnetons per cell
ΔE_f (raw): -0.373 eV/atom

a = 6.6594 Å, b = 10.8765 Å, c = 6.5413 Å
α = 90.00°, β = 115.15°, γ = 90.00°
Closest atoms and distances in Å follow each position.
Fractional coordinates of all 16 atoms:
Ag 0.0000 0.0000 0.0000  4 Cl 2.47
Ag 0.5000 0.5000 0.0000  4 Cl 2.47
Rh 0.0000 0.5000 0.5000  6 Cl 2.30-2.36
Rh 0.5000 0.0000 0.5000  6 Cl 2.30-2.36
Cl 0.2005 0.5000 0.2877  1 Rh 2.30
Cl 0.2389 0.3486 0.7394  1 Rh 2.36, 1 Ag 2.47
Cl 0.2389 0.6514 0.7394  1 Rh 2.36, 1 Ag 2.47
Cl 0.2611 0.1514 0.2606  1 Rh 2.36, 1 Ag 2.47
Cl 0.2611 0.8486 0.2606  1 Rh 2.36, 1 Ag 2.47
Cl 0.2995 0.0000 0.7123  1 Rh 2.30
Cl 0.7005 0.0000 0.2877  1 Rh 2.30
Cl 0.7389 0.1514 0.7394  1 Rh 2.36, 1 Ag 2.47
Cl 0.7389 0.8486 0.7394  1 Rh 2.36, 1 Ag 2.47
Cl 0.7611 0.3486 0.2606  1 Rh 2.36, 1 Ag 2.47
Cl 0.7611 0.6514 0.2606  1 Rh 2.36, 1 Ag 2.47
Cl 0.7995 0.5000 0.7123  1 Rh 2.30



4.
Compound: Mg5Os
Source: the Alexandria database
Functional: PBE-GGA
Structure: relaxed

Polymorph energy (0 for the lowest one): 2.52 kJ per mole of atoms
Volume: 231.1 Å³/cell
Fermi-level density of states: 6.81 states/eV per cell
Energy of formation from the pure elements: 134 meV per atom
Raw total energy: -3.07 eV/atom
M_tot: 0.00 Bohr magnetons per cell

a = 4.7970 Å, b = 2.9274 Å, c = 16.4594 Å
α = 90.00°, β = 90.00°, γ = 90.00°
Closest atoms and distances in Å follow each position.
Fractional coordinates of all 12 atoms:
Mg 0.0000 0.0000 0.0000  8 Mg 2.87-3.13, 2 Os 2.88
Mg 0.0000 0.0000 0.2973  2 Os 2.83, 8 Mg 2.93-3.10
Mg 0.0000 0.5000 0.5000  8 Mg 2.87-3.13, 2 Os 2.88
Mg 0.0000 0.5000 0.7973  2 Os 2.83, 8 Mg 2.93-3.10
Mg 0.5000 0.0000 0.0957  6 Mg 2.86-2.93, 4 Os 2.95
Mg 0.5000 0.0000 0.4167  10 Mg 2.93-3.18
Mg 0.5000 0.0000 0.7450  2 Os 2.86, 10 Mg 2.86-3.18
Mg 0.5000 0.5000 0.2450  2 Os 2.86, 10 Mg 2.86-3.18
Mg 0.5000 0.5000 0.5957  6 Mg 2.86-2.93, 4 Os 2.95
Mg 0.5000 0.5000 0.9167  10 Mg 2.93-3.18
Os 0.0000 0.0000 0.6504  10 Mg 2.83-2.95, 2 Os 2.93
Os 0.0000 0.5000 0.1504  10 Mg 2.83-2.95, 2 Os 2.93



5.
Compound: GaCuSn2I
Source: the Alexandria database
Functional: PBE-GGA
Structure: relaxed

Volume: 154.4 Å³/cell
Fermi-level density of states: 4.85 states/eV per cell
Raw total energy: -3.03 eV/atom
M_tot: 0.00 Bohr magnetons per cell
ΔE_f (raw): 0.302 eV/atom

a = 5.0043 Å, b = 5.0043 Å, c = 6.1646 Å
α = 90.00°, β = 90.00°, γ = 90.00°
Closest atoms and distances in Å follow each position.
Fractional coordinates of all 5 atoms:
Ga 0.0000 0.0000 0.0000  4 I 3.54
Cu 0.5000 0.5000 0.5000  4 Sn 2.50
Sn 0.0000 0.5000 0.5000  2 Cu 2.50
Sn 0.5000 0.0000 0.5000  2 Cu 2.50
I 0.5000 0.5000 0.0000  2 Cu 3.08



6.
Compound: SbAu4Br
Source: the Alexandria database
Functional: PBE-GGA
Structure: relaxed

Volume: 128.4 Å³/cell
Fermi-level density of states: 3.89 states/eV per cell
Raw total energy: -2.96 eV/atom
M_tot: 0.00 Bohr magnetons per cell
ΔE_f (raw): 0.195 eV/atom

a = 5.6623 Å, b = 5.6623 Å, c = 5.6623 Å
α = 60.00°, β = 60.00°, γ = 60.00°
Closest atoms and distances in Å follow each position.
Fractional coordinates of all 6 atoms:
Sb 0.0000 0.0000 0.0000  12 Au 3.32, 4 Br 3.47
Au 0.1244 0.6252 0.6252  6 Au 2.83-2.84
Au 0.6252 0.1244 0.6252  6 Au 2.83-2.84
Au 0.6252 0.6252 0.1244  6 Au 2.83-2.84
Au 0.6252 0.6252 0.6252  6 Au 2.83-2.84
Br 0.2500 0.2500 0.2500  12 Au 3.32, 4 Sb 3.47



7.
Compound: LiMg2H7Os
Source: the Alexandria database
Functional: PBE-GGA
Structure: relaxed

Volume: 203.5 Å³/cell
Fermi-level density of states: 0.00 states/eV per cell
Raw total energy: -3.98 eV/atom
M_tot: 0.00 Bohr magnetons per cell

a = 4.6916 Å, b = 4.6916 Å, c = 10.6746 Å
α = 90.00°, β = 90.00°, γ = 120.00°
Closest atoms and distances in Å follow each position.
Fractional coordinates of all 22 atoms:
Li 0.0000 0.0000 0.2500  6 H 2.12
Li 0.0000 0.0000 0.7500  6 H 2.12
Mg 0.3333 0.6667 0.0758  1 H 1.86
Mg 0.3333 0.6667 0.4242  1 H 1.86
Mg 0.6667 0.3333 0.5758  1 H 1.86
Mg 0.6667 0.3333 0.9242  1 H 1.86
H 0.1665 0.3329 0.5975  1 Os 1.71
H 0.1665 0.3329 0.9025  1 Os 1.71
H 0.1665 0.8335 0.5975  1 Os 1.71
H 0.1665 0.8335 0.9025  1 Os 1.71
H 0.3329 0.1665 0.0975  1 Os 1.71
H 0.3329 0.1665 0.4025  1 Os 1.71
H 0.3333 0.6667 0.2500  2 Mg 1.86
H 0.6667 0.3333 0.7500  2 Mg 1.86
H 0.6671 0.8335 0.5975  1 Os 1.71
H 0.6671 0.8335 0.9025  1 Os 1.71
H 0.8335 0.1665 0.0975  1 Os 1.71
H 0.8335 0.1665 0.4025  1 Os 1.71
H 0.8335 0.6671 0.0975  1 Os 1.71
H 0.8335 0.6671 0.4025  1 Os 1.71
Os 0.0000 0.0000 0.0000  6 H 1.71
Os 0.0000 0.0000 0.5000  6 H 1.71



8.
Compound: LiSmTc
Source: the Alexandria database
Functional: PBE-GGA
Structure: relaxed

Volume: 117.8 Å³/cell
Fermi-level density of states: 4.52 states/eV per cell
Energy of formation from the pure elements: 282 meV per atom
Raw total energy: -5.38 eV/atom
M_tot: 0.00 Bohr magnetons per cell

a = 3.7051 Å, b = 3.7051 Å, c = 8.5787 Å
α = 90.00°, β = 90.00°, γ = 90.00°
Closest atoms and distances in Å follow each position.
Fractional coordinates of all 6 atoms:
Li 0.2500 0.2500 0.2135  4 Tc 2.61, 4 Sm 2.85
Li 0.7500 0.7500 0.7865  4 Tc 2.61, 4 Sm 2.85
Sm 0.2500 0.2500 0.6558  4 Li 2.85
Sm 0.7500 0.7500 0.3442  4 Li 2.85
Tc 0.2500 0.7500 0.0000  4 Li 2.61, 4 Tc 2.62
Tc 0.7500 0.2500 0.0000  4 Li 2.61, 4 Tc 2.62



9.
Compound: Ac2UCdRh4
Source: the Alexandria database
Functional: PBE-GGA
Structure: relaxed

Volume: 388.6 Å³/cell
Fermi-level density of states: 9.67 states/eV per cell
Energy of formation from the pure elements: -432 meV per atom
Raw total energy: -6.66 eV/atom
M_tot: 0.00 Bohr magnetons per cell

a = 11.7947 Å, b = 10.5957 Å, c = 6.8469 Å
α = 82.06°, β = 62.84°, γ = 35.10°
Closest atoms and distances in Å follow each position.
Fractional coordinates of all 16 atoms:
Ac 0.0522 0.0522 0.6978  6 Rh 3.12-3.35
Ac 0.3022 0.3022 0.9478  6 Rh 3.12-3.35
Ac 0.6978 0.6978 0.0522  6 Rh 3.12-3.35
Ac 0.9478 0.9478 0.3022  6 Rh 3.12-3.35
U 0.3750 0.3750 0.3750  4 Rh 2.49
U 0.6250 0.6250 0.6250  4 Rh 2.49
Cd 0.1250 0.1250 0.1250  4 Rh 2.78
Cd 0.8750 0.8750 0.8750  4 Rh 2.78
Rh 0.0372 0.3425 0.4838  1 U 2.49, 1 Rh 2.68, 1 Cd 2.78
Rh 0.3425 0.0372 0.6366  1 U 2.49, 1 Rh 2.68, 1 Cd 2.78
Rh 0.3634 0.5162 0.6575  1 U 2.49, 1 Rh 2.68, 1 Cd 2.78
Rh 0.4838 0.6366 0.0372  1 U 2.49, 1 Rh 2.68, 1 Cd 2.78
Rh 0.5162 0.3634 0.9628  1 U 2.49, 1 Rh 2.68, 1 Cd 2.78
Rh 0.6366 0.4838 0.3425  1 U 2.49, 1 Rh 2.68, 1 Cd 2.78
Rh 0.6575 0.9628 0.3634  1 U 2.49, 1 Rh 2.68, 1 Cd 2.78
Rh 0.9628 0.6575 0.5162  1 U 2.49, 1 Rh 2.68, 1 Cd 2.78



10.
Compound: Ti3PbO
Source: the Alexandria database
Functional: PBE-GGA
Structure: relaxed

Polymorph energy (0 for the lowest one): 0.00 kJ per mole of atoms
Volume: 156.3 Å³/cell
Fermi-level density of states: 11.33 states/eV per cell
Raw total energy: -7.47 eV/atom
M_tot: 0.00 Bohr magnetons per cell
ΔE_f (raw): -0.995 eV/atom

a = 6.9441 Å, b = 6.9441 Å, c = 4.2344 Å
α = 90.00°, β = 90.00°, γ = 130.05°
Closest atoms and distances in Å follow each position.
Fractional coordinates of all 10 atoms:
Ti 0.0000 0.5000 0.5000  2 O 2.13
Ti 0.1231 0.8769 0.0000  2 O 2.12
Ti 0.2229 0.2229 0.5000  2 O 2.07
Ti 0.5000 0.0000 0.5000  2 O 2.13
Ti 0.7771 0.7771 0.5000  2 O 2.07
Ti 0.8769 0.1231 0.0000  2 O 2.12
Pb 0.3704 0.6296 0.0000  11 Ti 2.93-3.13, 1 Pb 3.26
Pb 0.6296 0.3704 0.0000  11 Ti 2.93-3.13, 1 Pb 3.26
O 0.1277 0.8723 0.5000  6 Ti 2.07-2.13
O 0.8723 0.1277 0.5000  6 Ti 2.07-2.13



What is the formula in the ninth record?
Ac2UCdRh4